1.
## HfNb2MoAs (GGA-PBE)

Data for crystalline HfNb2MoAs at its relaxed geometry.

The structure in extended XYZ format:
```
5
Lattice="4.882 0.000 0.000 0.000 4.688 0.000 0.000 0.000 4.882" Properties=species:S:1:pos:R:3 pbc="T T T"
Mo 0.000 0.000 0.000
Nb 2.441 0.000 0.000
Nb 0.000 0.000 2.441
Hf 2.441 2.344 2.441
As 0.000 2.344 0.000
```

Calculated values
DFT formation energy in eV/atom: 0.962
Electronic total energy in eV/atom: -8.15
V in Å³ per cell: 111.7

***

2.
## HfMoAs2Se (GGA-PBE)

Data for crystalline HfMoAs2Se at its relaxed geometry.

The structure in extended XYZ format:
```
5
Lattice="4.802 0.000 0.000 0.000 4.802 0.000 0.000 0.000 4.987" Properties=species:S:1:pos:R:3 pbc="T T T"
Mo 0.000 0.000 0.000
Hf 2.401 2.401 2.494
As 2.401 0.000 0.000
As 0.000 2.401 0.000
Se 0.000 0.000 2.494
```

Calculated values
Uncorrected formation energy in eV per atom: 0.544
Electronic total energy in eV/atom: -6.17
Energy relative to the lowest polymorph listed for this composition in meV per atom: 0
V in Å³ per cell: 115.0

***

3.
## HfMoAs2Se (GGA-PBE)

Data for crystalline HfMoAs2Se at its relaxed geometry.

The structure in extended XYZ format:
```
5
Lattice="5.041 0.000 0.000 0.000 5.041 0.000 0.000 0.000 4.983" Properties=species:S:1:pos:R:3 pbc="T T T"
Se 0.000 0.000 2.491
As 2.521 0.000 0.000
As 0.000 2.521 0.000
Hf 0.000 0.000 0.000
Mo 2.521 2.521 2.491
```

Calculated values
Uncorrected formation energy in eV per atom: 0.681
Electronic total energy in eV/atom: -6.03
Energy relative to the lowest polymorph listed for this composition in meV per atom: 137
V in Å³ per cell: 126.6

***

4.
## HfMoAsSe2 (GGA-PBE)

Data for crystalline HfMoAsSe2 at its relaxed geometry.

The structure in extended XYZ format:
```
5
Lattice="5.091 0.000 0.000 0.000 5.091 0.000 0.000 0.000 5.209" Properties=species:S:1:pos:R:3 pbc="T T T"
Se 0.000 2.546 0.000
Se 2.546 0.000 0.000
Mo 2.546 2.546 2.605
Hf 0.000 0.000 0.000
As 0.000 0.000 2.605
```

Calculated values
Uncorrected formation energy in eV per atom: 0.459
Electronic total energy in eV/atom: -6.02
Energy relative to the lowest polymorph listed for this composition in meV per atom: 0
V in Å³ per cell: 135.0

***

5.
## HfMoAsSe2 (GGA-PBE)

Data for crystalline HfMoAsSe2 at its relaxed geometry.

The structure in extended XYZ format:
```
5
Lattice="-2.733 2.576 -3.081 -3.903 -0.824 2.773 0.957 4.079 2.560" Properties=species:S:1:pos:R:3 pbc="T T T"
Hf -2.839 2.915 1.126
Se -1.951 -0.412 1.386
Se -1.367 1.288 -1.541
As 0.479 2.039 1.280
Mo 0.000 0.000 0.000
```

Calculated values
Uncorrected formation energy in eV per atom: 0.472
Electronic total energy in eV/atom: -6.01
Energy relative to the lowest polymorph listed for this composition in meV per atom: 13
V in Å³ per cell: 115.9

***

6.
## Hf2SiMoAs (GGA-PBE)

Data for crystalline Hf2SiMoAs at its relaxed geometry.

The structure in extended XYZ format:
```
5
Lattice="4.913 0.000 0.000 0.000 4.552 0.000 0.000 0.000 4.913" Properties=species:S:1:pos:R:3 pbc="T T T"
Mo 2.457 2.276 2.457
Si 0.000 0.000 0.000
Hf 0.000 0.000 2.457
Hf 2.457 0.000 0.000
As 0.000 2.276 0.000
```

Calculated values
Uncorrected formation energy in eV per atom: 0.891
Electronic total energy in eV/atom: -7.27
V in Å³ per cell: 109.9